Here is a relaxed SrCu2As crystal from Alexandria. Energies are from PBE.

Structure (POSCAR):
```
SrCu2As
1.0
4.208 -0.064 0.059
2.156 3.615 0.059
2.042 1.139 5.456
As Cu Sr
1 2 1
direct
0.703 0.703 0.892
0.996 0.996 0.014
0.302 0.302 0.096
0.500 0.500 0.499
```

The calculated volume is 83.18 Å³/cell. The size of the total moment comes out at 0.0 μB/f.u. The density of states at the Fermi level comes out at 4.36 states/eV per cell. The energy of formation is -0.33 eV/atom. The crystal system is trigonal.